Computed, not measured: a relaxed structure of CrFeNi6 at the GGA-PBE level of DFT.

abc: 3.5424 3.5424 7.0873
angles: 90.00 90.00 90.00
Last column: nearest neighbours and their distance in Å.
Fractional coordinates of all 8 atoms:
Fe 0.0000 0.0000 0.0000  12 Ni 2.50-2.51
Ni 0.5000 0.0000 0.7499  8 Ni 2.50-2.51, 2 Cr 2.50, 2 Fe 2.51
Ni 0.5000 0.5000 0.5000  4 Cr 2.50, 8 Ni 2.50
Ni 0.5000 0.5000 0.0000  4 Fe 2.50, 8 Ni 2.51
Ni 0.0000 0.5000 0.2501  8 Ni 2.50-2.51, 2 Cr 2.50, 2 Fe 2.51
Ni 0.5000 0.0000 0.2501  8 Ni 2.50-2.51, 2 Cr 2.50, 2 Fe 2.51
Ni 0.0000 0.5000 0.7499  8 Ni 2.50-2.51, 2 Cr 2.50, 2 Fe 2.51
Cr 0.0000 0.0000 0.5000  12 Ni 2.50

## Properties
formation energy from the elements = -0.3 eV per formula unit



Computed, not measured: a relaxed structure of SmDy2Y3Se6 at the GGA-PBE level of DFT.

abc: 7.0999 7.0999 7.1052
angles: 99.54 99.54 120.28
Last column: nearest neighbours and their distance in Å.
Fractional coordinates of all 12 atoms:
Dy 0.3341 0.6659 0.0000  6 Se 2.87-2.90
Dy 0.6659 0.3341 0.0000  6 Se 2.87-2.90
Se 0.4238 0.0840 0.2528  2 Dy 2.89-2.90, 3 Y 2.89-2.91, 1 Sm 2.95
Se 0.2561 0.2561 0.7503  3 Y 2.86-2.88, 2 Dy 2.87, 1 Sm 2.93
Se 0.0840 0.4238 0.2528  2 Dy 2.89-2.90, 3 Y 2.89-2.91, 1 Sm 2.95
Se 0.5762 0.9160 0.7472  2 Dy 2.89-2.90, 3 Y 2.89-2.91, 1 Sm 2.95
Se 0.9160 0.5762 0.7472  2 Dy 2.89-2.90, 3 Y 2.89-2.91, 1 Sm 2.95
Se 0.7439 0.7439 0.2497  3 Y 2.86-2.88, 2 Dy 2.87, 1 Sm 2.93
Y 0.8378 0.1622 0.5000  6 Se 2.88-2.90
Y 0.5000 0.5000 0.5000  6 Se 2.86-2.91
Y 0.1622 0.8378 0.5000  6 Se 2.88-2.90
Sm 0.0000 0.0000 0.0000  6 Se 2.93-2.95

## Properties
formation energy from raw total energies = -1.770 eV per atom



Computed, not measured: a relaxed structure of NdHo2ErTl2 at the GGA-PBE level of DFT.

abc: 5.1273 6.8301 10.0112
angles: 90.00 90.00 90.00
Last column: nearest neighbours and their distance in Å.
Fractional coordinates of all 12 atoms:
Ho 0.0000 0.3374 0.1822  4 Tl 3.17-3.23, 2 Ho 3.51
Ho 0.5000 0.5510 0.9555  5 Tl 3.22-3.54, 4 Ho 3.51-3.53
Ho 0.0000 0.8374 0.8178  4 Tl 3.17-3.23, 2 Ho 3.51
Ho 0.5000 0.0510 0.0445  5 Tl 3.22-3.54, 4 Ho 3.51-3.53
Nd 0.0000 0.9587 0.4572  5 Tl 3.27-3.53, 2 Nd 3.52, 2 Er 3.53
Nd 0.0000 0.4587 0.5428  5 Tl 3.27-3.53, 2 Nd 3.52, 2 Er 3.53
Tl 0.0000 0.2975 0.8670  6 Ho 3.17-3.54, 2 Er 3.20, 1 Nd 3.43
Tl 0.0000 0.7975 0.1330  6 Ho 3.17-3.54, 2 Er 3.20, 1 Nd 3.43
Tl 0.5000 0.2218 0.3624  2 Er 3.17-3.32, 3 Ho 3.23-3.39, 4 Nd 3.27-3.53
Tl 0.5000 0.7218 0.6376  2 Er 3.17-3.32, 3 Ho 3.23-3.39, 4 Nd 3.27-3.53
Er 0.5000 0.6792 0.3071  4 Tl 3.17-3.32, 2 Nd 3.53
Er 0.5000 0.1792 0.6929  4 Tl 3.17-3.32, 2 Nd 3.53

## Properties
formation energy from the elements = -1.6 eV per formula unit



Computed, not measured: a relaxed structure of GaGe2Bi at the GGA-PBE level of DFT.

abc: 5.0846 5.0846 5.0846
angles: 60.00 60.00 60.00
Last column: nearest neighbours and their distance in Å.
Fractional coordinates of all 4 atoms:
Bi 0.5000 0.5000 0.5000  8 Ge 3.11
Ga 0.0000 0.0000 0.0000  8 Ge 3.11
Ge 0.2500 0.2500 0.2500  4 Bi 3.11, 4 Ga 3.11
Ge 0.7500 0.7500 0.7500  4 Bi 3.11, 4 Ga 3.11

## Properties
formation energy from the elements = 1.1 eV per formula unit



Computed, not measured: a relaxed structure of Pr3ZrSb4 at the GGA-PBE level of DFT.

abc: 7.6818 7.7063 8.9106
angles: 90.00 90.00 109.55
Last column: nearest neighbours and their distance in Å.
Fractional coordinates of all 16 atoms:
Pr 0.2500 0.5000 0.3737  6 Sb 3.14-3.27
Pr 0.7500 0.5000 0.1243  6 Sb 3.14-3.26
Pr 0.2500 0.5000 0.8757  6 Sb 3.14-3.26
Pr 0.2500 0.0000 0.6260  6 Sb 3.15-3.16
Pr 0.7500 0.0000 0.3740  6 Sb 3.15-3.16
Pr 0.7500 0.5000 0.6263  6 Sb 3.14-3.27
Sb 0.5001 0.7690 0.1150  2 Zr 3.03, 4 Pr 3.14-3.26
Sb 0.4905 0.2407 0.3652  1 Zr 3.02, 5 Pr 3.14-3.27
Sb 0.9905 0.2407 0.6348  1 Zr 3.02, 5 Pr 3.14-3.27
Sb 0.4999 0.2310 0.8850  2 Zr 3.03, 4 Pr 3.14-3.26
Sb 0.5095 0.7593 0.6348  1 Zr 3.02, 5 Pr 3.14-3.27
Sb 0.9999 0.2310 0.1150  2 Zr 3.03, 4 Pr 3.14-3.26
Sb 0.0095 0.7593 0.3652  1 Zr 3.02, 5 Pr 3.14-3.27
Sb 0.0001 0.7690 0.8850  2 Zr 3.03, 4 Pr 3.14-3.26
Zr 0.2500 0.0000 0.1261  6 Sb 3.02-3.03
Zr 0.7500 0.0000 0.8739  6 Sb 3.02-3.03

## Properties
formation energy from raw total energies = -1.019 eV per atom



Computed, not measured: a relaxed structure of InTcAg at the GGA-PBE level of DFT.

abc: 5.0937 5.0937 5.0937
angles: 147.84 130.34 60.40
Last column: nearest neighbours and their distance in Å.
Fractional coordinates of all 3 atoms:
In 0.3308 0.3308 0.0000  2 In 2.82, 5 Ag 2.88-2.98, 5 Tc 2.95
Ag 0.0034 0.0034 0.0000  2 Ag 2.82, 5 In 2.88-2.98, 5 Tc 2.93-2.97
Tc 0.6658 0.6658 0.0000  2 Tc 2.82, 5 Ag 2.93-2.97, 5 In 2.95

## Properties
formation energy from the elements = 1.4 eV per formula unit